# 1
Computed, not measured: TlSeCl after structural relaxation at the PBE level of DFT.

Values from the calculation:
- M_tot: 0.0000 μB/atom
- Formation energy without anion corrections: -164.4 meV per atom

a b c (Å): 6.9428 6.9428 6.9428
angles (deg): 90.00 90.00 90.00
Closest atoms and distances in Å follow each position.
Fractional coordinates of all 12 atoms:
1 Tl 0.0000 0.0000 0.0000  4 Cl 3.01, 4 Se 3.01
2 Tl 0.0000 0.5000 0.5000  4 Cl 3.01, 4 Se 3.01
3 Tl 0.5000 0.0000 0.5000  4 Cl 3.01, 4 Se 3.01
4 Tl 0.5000 0.5000 0.0000  4 Cl 3.01, 4 Se 3.01
5 Se 0.2500 0.2500 0.7500  4 Tl 3.01
6 Se 0.2500 0.7500 0.2500  4 Tl 3.01
7 Se 0.7500 0.2500 0.2500  4 Tl 3.01
8 Se 0.7500 0.7500 0.7500  4 Tl 3.01
9 Cl 0.2500 0.2500 0.2500  4 Tl 3.01
10 Cl 0.2500 0.7500 0.7500  4 Tl 3.01
11 Cl 0.7500 0.2500 0.7500  4 Tl 3.01
12 Cl 0.7500 0.7500 0.2500  4 Tl 3.01

---

# 2
Computed, not measured: Li2TbZn after structural relaxation at the PBE level of DFT.

Values from the calculation:
- M_tot: 0.0002 μB/atom
- ΔH_f (0 K): 0.02 eV/atom

a b c (Å): 3.4175 3.4175 6.9207
angles (deg): 90.00 90.00 90.00
Closest atoms and distances in Å follow each position.
Fractional coordinates of all 4 atoms:
1 Li 0.0000 0.0000 0.1886  1 Li 2.61, 4 Zn 2.75
2 Li 0.0000 0.0000 0.8114  1 Li 2.61, 4 Zn 2.75
3 Tb 0.5000 0.5000 0.5000  8 Li 3.24, 4 Tb 3.42, 2 Zn 3.46
4 Zn 0.5000 0.5000 0.0000  8 Li 2.75

---

# 3
Computed, not measured: Sc2ReSi after structural relaxation at the PBE level of DFT.

Values from the calculation:
- M_tot: 0.0000 μB/atom
- Formation energy without anion corrections: -361.8 meV per atom

a b c (Å): 3.4959 4.1812 5.3730
angles (deg): 90.00 108.91 90.00
Closest atoms and distances in Å follow each position.
Fractional coordinates of all 4 atoms:
1 Sc 0.0000 0.0000 0.0000  3 Re 2.81-2.88, 4 Si 2.86
2 Sc 0.2984 0.5000 0.5991  3 Si 2.79-2.91, 4 Re 2.85
3 Re 0.7156 0.0000 0.4325  2 Si 2.47
4 Si 0.5857 0.5000 0.1723  2 Re 2.47

---

# 4
Computed, not measured: SrLiW2 after structural relaxation at the PBE level of DFT.

Values from the calculation:
- M_tot: 0.0000 μB/atom
- ΔH_f (0 K): 0.63 eV/atom

a b c (Å): 3.3809 3.3809 7.8122
angles (deg): 90.00 90.00 90.00
Closest atoms and distances in Å follow each position.
Fractional coordinates of all 4 atoms:
1 Sr 0.0000 0.0000 0.0000  4 Sr 3.38, 5 W 3.42-3.52, 4 Li 3.53
2 Li 0.5000 0.5000 0.6673  5 W 2.76-2.93
3 W 0.0000 0.0000 0.4502  4 W 2.62, 4 Li 2.93
4 W 0.5000 0.5000 0.3136  4 W 2.62, 1 Li 2.76

---

Number 1: DFT total energy -32.763 eV for the cell shown, V 335 Å³ per cell. Number 2: DFT total energy -9.649 eV for the cell shown, V 81 Å³ per cell. Number 3: DFT total energy -31.981 eV for the cell shown, V 74 Å³ per cell. Number 4: DFT total energy -26.985 eV for the cell shown, V 89 Å³ per cell.